A plane-wave DFT calculation with PBE-GGA was carried out for a relaxed YP3Pd crystal.

Density = 3.428 g/cm3
DOS(E_F) = 0.65 states/eV/atom
ΔE to the lowest computed polymorph = 943 meV per atom
Calculated formation energy = 0.96 eV/atom
Final energy = -4.614 eV per atom

Unit cell a=5.1879 b=5.1879 c=5.1879 alpha=90.00 beta=90.00 gamma=90.00
Sites, in units of the cell vectors:
1 Y 0.0000 0.0000 0.0000
2 P 0.0000 0.0000 0.5000
3 P 0.0000 0.5000 0.0000
4 P 0.5000 0.0000 0.0000
5 Pd 0.5000 0.5000 0.5000

A plane-wave DFT calculation with PBE-GGA was carried out for a relaxed YP2Pd2 crystal.

Density = 6.741 g/cm3
DOS(E_F) = 0.68 states/eV/atom
Calculated formation energy = -0.73 eV/atom
Final energy = -6.261 eV per atom

Unit cell a=5.4986 b=5.4986 c=5.4986 alpha=132.15 beta=132.15 gamma=69.99
Sites, in units of the cell vectors:
1 Y 0.0000 0.0000 0.0000
2 P 0.2500 0.7500 0.5000
3 P 0.7500 0.2500 0.5000
4 Pd 0.3517 0.3517 0.0000
5 Pd 0.6483 0.6483 0.0000

A plane-wave DFT calculation with PBE-GGA was carried out for a relaxed Y2PPd crystal.

Density = 4.972 g/cm3
DOS(E_F) = 0.82 states/eV/atom
Calculated formation energy = -0.58 eV/atom
Final energy = -6.459 eV per atom

Unit cell a=8.8277 b=8.8277 c=8.8277 alpha=24.66 beta=24.66 gamma=24.66
Sites, in units of the cell vectors:
1 Y 0.1034 0.1034 0.1034
2 Y 0.8966 0.8966 0.8966
3 P 0.5000 0.5000 0.5000
4 Pd 0.0000 0.0000 0.0000

A plane-wave DFT calculation with PBE-GGA was carried out for a relaxed Yb3P6Pd20 crystal.

Density = 10.170 g/cm3
DOS(E_F) = 1.84 states/eV/atom
Calculated formation energy = -0.67 eV/atom
Final energy = -5.526 eV per atom

Unit cell a=8.6813 b=8.6813 c=8.6813 alpha=60.00 beta=60.00 gamma=60.00
Sites, in units of the cell vectors:
1 Yb 0.0000 0.0000 0.0000
2 Yb 0.2500 0.2500 0.2500
3 Yb 0.7500 0.7500 0.7500
4 P 0.2632 0.2632 0.7368
5 P 0.2632 0.7368 0.2632
6 P 0.2632 0.7368 0.7368
7 P 0.7368 0.2632 0.2632
8 P 0.7368 0.2632 0.7368
9 P 0.7368 0.7368 0.2632
10 Pd 0.0000 0.0000 0.3457
11 Pd 0.0000 0.0000 0.6543
12 Pd 0.0000 0.3457 0.0000
13 Pd 0.0000 0.3457 0.6543
14 Pd 0.0000 0.6543 0.0000
15 Pd 0.0000 0.6543 0.3457
16 Pd 0.1570 0.6143 0.6143
17 Pd 0.3457 0.0000 0.0000
18 Pd 0.3457 0.0000 0.6543
19 Pd 0.3457 0.6543 0.0000
20 Pd 0.3857 0.3857 0.3857
21 Pd 0.3857 0.3857 0.8430
22 Pd 0.3857 0.8430 0.3857
23 Pd 0.6143 0.1570 0.6143
24 Pd 0.6143 0.6143 0.1570
25 Pd 0.6143 0.6143 0.6143
26 Pd 0.6543 0.0000 0.0000
27 Pd 0.6543 0.0000 0.3457
28 Pd 0.6543 0.3457 0.0000
29 Pd 0.8430 0.3857 0.3857

- DOS(E_F) of number 3 (Y2PPd)?
  0.82 states/eV/atom

- The lowest calculated formation energy belongs to which entry?
  YP2Pd2

Copy entry 4 word for word.
A plane-wave DFT calculation with PBE-GGA was carried out for a relaxed Yb3P6Pd20 crystal.

Density = 10.170 g/cm3
DOS(E_F) = 1.84 states/eV/atom
Calculated formation energy = -0.67 eV/atom
Final energy = -5.526 eV per atom

Unit cell a=8.6813 b=8.6813 c=8.6813 alpha=60.00 beta=60.00 gamma=60.00
Sites, in units of the cell vectors:
1 Yb 0.0000 0.0000 0.0000
2 Yb 0.2500 0.2500 0.2500
3 Yb 0.7500 0.7500 0.7500
4 P 0.2632 0.2632 0.7368
5 P 0.2632 0.7368 0.2632
6 P 0.2632 0.7368 0.7368
7 P 0.7368 0.2632 0.2632
8 P 0.7368 0.2632 0.7368
9 P 0.7368 0.7368 0.2632
10 Pd 0.0000 0.0000 0.3457
11 Pd 0.0000 0.0000 0.6543
12 Pd 0.0000 0.3457 0.0000
13 Pd 0.0000 0.3457 0.6543
14 Pd 0.0000 0.6543 0.0000
15 Pd 0.0000 0.6543 0.3457
16 Pd 0.1570 0.6143 0.6143
17 Pd 0.3457 0.0000 0.0000
18 Pd 0.3457 0.0000 0.6543
19 Pd 0.3457 0.6543 0.0000
20 Pd 0.3857 0.3857 0.3857
21 Pd 0.3857 0.3857 0.8430
22 Pd 0.3857 0.8430 0.3857
23 Pd 0.6143 0.1570 0.6143
24 Pd 0.6143 0.6143 0.1570
25 Pd 0.6143 0.6143 0.6143
26 Pd 0.6543 0.0000 0.0000
27 Pd 0.6543 0.0000 0.3457
28 Pd 0.6543 0.3457 0.0000
29 Pd 0.8430 0.3857 0.3857

- calculated formation energy of number 4 (Yb3P6Pd20)?
  -0.67 eV/atom